Entry 1:
The following is a DFT calculation (PBE) of a geometry-optimized LaDyO2 structure.

Computed properties:
M_tot = 0.000 μB/atom
symmetry = R-3m, No. 166
Fermi-level density of states = 2.5 states/eV per cell
uncorrected formation energy = -2896 meV/atom
crystal system = trigonal

Cell lengths 3.4802, 3.4802, 17.9588 Å; angles 90.00, 90.00, 120.00 degrees
Last column: nearest neighbours and their distance in Å.
Fractional positions:
La  0.0000  0.0000  0.0000  6 O 2.70
La  0.3333  0.6667  0.6667  6 O 2.70
La  0.6667  0.3333  0.3333  6 O 2.70
Dy  0.0000  0.0000  0.5000  6 O 2.34
Dy  0.3333  0.6667  0.1667  6 O 2.34
Dy  0.6667  0.3333  0.8333  6 O 2.34
O  0.0000  0.0000  0.2332  3 Dy 2.34
O  0.0000  0.0000  0.7668  3 Dy 2.34
O  0.3333  0.6667  0.4335  3 Dy 2.34
O  0.3333  0.6667  0.8999  3 Dy 2.34
O  0.6667  0.3333  0.1001  3 Dy 2.34
O  0.6667  0.3333  0.5665  3 Dy 2.34

Entry 2:
The following is a DFT calculation (PBE) of a geometry-optimized HfGa2Ge structure.

Computed properties:
M_tot = 0.000 μB/atom
formation energy = -5.9 kcal/mol of atoms
symmetry = P4/mmm, No. 123
Fermi-level density of states = 2.2 states/eV per cell
crystal system = tetragonal

Cell lengths 3.9856, 3.9856, 4.4437 Å; angles 90.00, 90.00, 90.00 degrees
Last column: nearest neighbours and their distance in Å.
Fractional positions:
Hf  0.0000  0.0000  0.0000  4 Ge 2.82, 8 Ga 2.98
Ga  0.0000  0.5000  0.5000  4 Ga 2.82, 4 Ge 2.98, 4 Hf 2.98
Ga  0.5000  0.0000  0.5000  4 Ga 2.82, 4 Ge 2.98, 4 Hf 2.98
Ge  0.5000  0.5000  0.0000  4 Hf 2.82, 8 Ga 2.98